1.
This record from Alexandria describes a relaxed structure of Pr8CuSn2. The functional is GGA-PBE.

```
11
Lattice="9.945 -2.599 0.000 9.945 2.599 0.000 -1.869 0.000 6.736" Properties=species:S:1:pos:R:3 pbc="T T T"
Pr -0.244 0.000 1.908
Pr 2.756 0.000 5.490
Pr 6.019 0.000 3.401
Pr 8.071 0.000 0.186
Pr 9.950 0.000 6.549
Pr 12.002 0.000 3.335
Pr 15.266 0.000 1.246
Pr 18.265 0.000 4.828
Cu 9.011 0.000 3.368
Sn 3.104 0.000 1.680
Sn 14.917 0.000 5.056
```

Computed properties:
DFT total energy in eV per atom: -4.88
DFT formation energy in eV/atom: -0.305

***

2.
This record from Alexandria describes a relaxed structure of DyHo2Th3S6. The functional is GGA-PBE.

```
12
Lattice="3.374 -5.808 0.000 3.374 5.808 0.000 -2.222 0.000 6.761" Properties=species:S:1:pos:R:3 pbc="T T T"
Dy 0.000 0.000 0.000
Ho 3.374 1.936 0.000
Ho 3.374 -1.936 0.000
Th 2.263 3.878 3.381
Th 2.263 0.000 3.381
Th 2.263 -3.878 3.381
S 1.135 1.943 1.569
S 0.029 0.000 5.196
S 1.135 -1.943 1.569
S 3.391 1.943 5.193
S 4.497 0.000 1.565
S 3.391 -1.943 5.193
```

Computed properties:
DFT total energy in eV per atom: -6.97
ΔE_f (raw) in meV per atom: -1900

***

3.
This record from Alexandria describes a relaxed structure of PmNi4Sn6. The functional is GGA-PBE.

```
11
Lattice="7.922 0.000 0.000 -3.961 6.861 0.000 0.000 0.000 3.976" Properties=species:S:1:pos:R:3 pbc="T T T"
Pm 0.000 0.000 0.000
Ni 0.000 4.574 0.000
Ni 2.379 1.374 1.988
Ni 5.543 1.374 1.988
Ni 3.961 4.113 1.988
Sn 0.000 2.627 1.988
Sn -1.686 5.547 1.988
Sn 3.961 0.467 0.000
Sn 2.385 3.197 0.000
Sn 1.686 5.547 1.988
Sn 5.537 3.197 0.000
```

Computed properties:
DFT total energy in eV per atom: -4.95
DFT formation energy in eV/atom: -0.228